ScTaIN2: optimized geometry, PBE-GGA.

Results
* formation energy (no corrections): 1.331 eV per atom
* raw total energy: -5.946 eV per atom
* total moment: 0.24 μB per atom

a = 4.109 Å, b = 4.109 Å, c = 5.950 Å
α = 90.00°, β = 90.00°, γ = 90.00°
Space group P4/mmm (No. 123)
One atom of each set of equivalent atoms:
Sc1 0.000 0.000 0.000 [1 per cell]
Ta1 0.000 0.000 0.500 [1 per cell]
I1 0.500 0.500 0.500 [1 per cell]
N1 0.000 0.500 0.000 [2 per cell]

---

ScTaI2N: optimized geometry, PBE-GGA.

Results
* formation energy (no corrections): 0.126 eV per atom
* raw total energy: -5.796 eV per atom
* total moment: 0.33 μB per atom

a = 5.721 Å, b = 5.721 Å, c = 3.909 Å
α = 90.00°, β = 90.00°, γ = 90.00°
Space group P4/mmm (No. 123)
One atom of each set of equivalent atoms:
Sc1 0.000 0.000 0.000 [1 per cell]
Ta1 0.500 0.500 0.500 [1 per cell]
I1 0.000 0.500 0.500 [2 per cell]
N1 0.500 0.500 0.000 [1 per cell]

---

ScTaI2N: optimized geometry, PBE-GGA.

Results
* formation energy (no corrections): 0.679 eV per atom
* raw total energy: -5.243 eV per atom
* total moment: 0.54 μB per atom

a = 5.822 Å, b = 5.822 Å, c = 3.774 Å
α = 90.00°, β = 90.00°, γ = 90.00°
Space group P4/mmm (No. 123)
One atom of each set of equivalent atoms:
Sc1 0.000 0.000 0.000 [1 per cell]
Ta1 0.500 0.500 0.500 [1 per cell]
I1 0.000 0.500 0.000 [2 per cell]
N1 0.000 0.000 0.500 [1 per cell]

---

ScTaIN2: optimized geometry, PBE-GGA.

Results
* formation energy (no corrections): 1.218 eV per atom
* raw total energy: -6.059 eV per atom
* total moment: 0.00 μB per atom

a = 4.136 Å, b = 4.136 Å, c = 5.420 Å
α = 90.00°, β = 90.00°, γ = 90.00°
Space group P4/mmm (No. 123)
One atom of each set of equivalent atoms:
Sc1 0.000 0.000 0.000 [1 per cell]
Ta1 0.500 0.500 0.500 [1 per cell]
I1 0.000 0.000 0.500 [1 per cell]
N1 0.000 0.500 0.000 [2 per cell]